No. 1
Compound: NbPtPb2F
Source: Alexandria
Functional: PBE
Structure: optimized geometry

a = 5.584 Å, b = 3.999 Å, c = 5.584 Å
α = 90.00°, β = 90.00°, γ = 90.00°
Each line ends with the local moment (μB).
Atoms (fractional coordinates):
Pb 0.500 0.000 0.000  -0.01
Pt 0.500 0.500 0.500  0.15
Pb 0.000 0.000 0.500  0.02
F 0.000 0.500 0.000  0.00
Nb 0.000 0.000 0.000  1.14

No. 2
Compound: Rb2NbPbF
Source: Alexandria
Functional: PBE
Structure: optimized geometry

a = 7.294 Å, b = 4.131 Å, c = 7.294 Å
α = 90.00°, β = 90.00°, γ = 90.00°
Each line ends with the local moment (μB).
Atoms (fractional coordinates):
F 0.000 0.500 0.000  0.00
Nb 0.000 0.000 0.000  2.78
Rb 0.000 0.000 0.500  0.04
Rb 0.500 0.000 0.000  0.04
Pb 0.500 0.500 0.500  0.30

No. 3
Compound: Y2NbPbF
Source: Alexandria
Functional: PBE
Structure: optimized geometry

a = 5.864 Å, b = 5.382 Å, c = 5.864 Å
α = 90.00°, β = 90.00°, γ = 90.00°
Each line ends with the local moment (μB).
Atoms (fractional coordinates):
Y 0.500 0.000 0.000  0.32
Nb 0.000 0.500 0.000  2.50
F 0.500 0.500 0.500  0.08
Pb 0.000 0.000 0.000  -0.02
Y 0.000 0.000 0.500  0.34

No. 4
Compound: ZrNbPbF2
Source: Alexandria
Functional: PBE
Structure: optimized geometry

a = 4.190 Å, b = 5.741 Å, c = 4.190 Å
α = 90.00°, β = 90.00°, γ = 90.00°
Atoms (fractional coordinates):
F 0.500 0.000 0.000
Pb 0.500 0.500 0.500
F 0.000 0.000 0.500
Nb 0.000 0.000 0.000
Zr 0.000 0.500 0.000

No. 5
Compound: NbPd2F
Source: Alexandria
Functional: PBE
Structure: optimized geometry

a = 6.931 Å, b = 6.931 Å, c = 5.549 Å
α = 51.35°, β = 51.35°, γ = 90.00°
Atoms (fractional coordinates):
Pd 0.875 0.860 0.750
Pd 0.140 0.625 0.250
Nb 0.000 0.000 0.000
Pd 0.610 0.125 0.250
Nb 0.750 0.250 0.500
Pd 0.375 0.390 0.750
F 0.500 0.500 0.000
F 0.250 0.750 0.500

No. 6
Compound: NbPd3F
Source: Alexandria
Functional: PBE
Structure: optimized geometry

a = 4.853 Å, b = 4.853 Å, c = 4.853 Å
α = 90.00°, β = 90.00°, γ = 90.00°
Atoms (fractional coordinates):
Pd 0.000 0.500 0.000
Pd 0.500 0.000 0.000
F 0.500 0.500 0.500
Pd 0.000 0.000 0.500
Nb 0.000 0.000 0.000

No. 7
Compound: NbPd3F
Source: Alexandria
Functional: PBE
Structure: optimized geometry

a = 4.330 Å, b = 4.330 Å, c = 4.330 Å
α = 90.00°, β = 90.00°, γ = 90.00°
Each line ends with the local moment (μB).
Atoms (fractional coordinates):
Pd 0.000 0.500 0.000  0.01
Pd 0.000 0.000 0.500  0.04
F 0.000 0.000 0.000  0.00
Nb 0.500 0.500 0.500  1.13
Pd 0.500 0.000 0.000  -0.01

No. 8
Compound: NbPd2F
Source: Alexandria
Functional: PBE
Structure: optimized geometry

a = 4.425 Å, b = 4.425 Å, c = 4.425 Å
α = 60.00°, β = 60.00°, γ = 60.00°
Atoms (fractional coordinates):
F 0.000 0.000 0.000
Nb 0.500 0.500 0.500
Pd 0.750 0.750 0.750
Pd 0.250 0.250 0.250

No. 9
Compound: NbPdS2F
Source: Alexandria
Functional: PBE
Structure: optimized geometry

a = 4.853 Å, b = 3.786 Å, c = 4.853 Å
α = 90.00°, β = 90.00°, γ = 90.00°
Atoms (fractional coordinates):
S 0.000 0.000 0.500
Nb 0.000 0.500 0.000
F 0.000 0.000 0.000
S 0.500 0.000 0.000
Pd 0.500 0.500 0.500

No. 10
Compound: Pr2NbF
Source: Alexandria
Functional: PBE
Structure: optimized geometry

a = 3.242 Å, b = 3.242 Å, c = 10.223 Å
α = 80.88°, β = 80.88°, γ = 60.00°
Each line ends with the local moment (μB).
Atoms (fractional coordinates):
Nb 0.000 0.000 0.000  0.75
Pr 0.900 0.900 0.301  0.07
F 0.500 0.500 0.500  0.01
Pr 0.100 0.100 0.699  0.07

No. 11
Compound: NbPt2F
Source: Alexandria
Functional: PBE
Structure: optimized geometry

a = 7.152 Å, b = 7.152 Å, c = 5.685 Å
α = 51.02°, β = 51.02°, γ = 90.00°
Atoms (fractional coordinates):
Nb 0.750 0.250 0.500
F 0.250 0.750 0.500
Pt 0.875 0.886 0.750
Pt 0.636 0.125 0.250
Pt 0.114 0.625 0.250
Nb 0.000 0.000 0.000
Pt 0.375 0.364 0.750
F 0.500 0.500 0.000

No. 12
Compound: NbPt2F
Source: Alexandria
Functional: PBE
Structure: optimized geometry

a = 4.440 Å, b = 4.440 Å, c = 4.440 Å
α = 60.00°, β = 60.00°, γ = 60.00°
Atoms (fractional coordinates):
Pt 0.250 0.250 0.250
F 0.000 0.000 0.000
Pt 0.750 0.750 0.750
Nb 0.500 0.500 0.500

Across the entries above, formation energy without anion corrections takes the values 0.000, 0.075, 0.626, -1.052, -0.303, 0.783, 0.298, -0.202, 0.262, -0.585, -0.492, -0.413 eV/atom, respectively.
Across the entries above, total energy takes the values -25.40, -17.21, -25.45, -31.33, -47.07, -23.60, -26.03, -23.13, -24.08, -23.84, -51.98, -25.67 eV per cell, respectively.
Across the entries above, total magnetization takes the values 1.52, 5.06, 4.98, 0.00, 0.00, 0.00, 1.39, 0.00, 0.00, 1.11, 0.00, 0.00 μB/f.u., respectively.